[1]
# YBeAu3 (GGA-PBE, optimized geometry)
# **DFT formation energy**: -550.5 meV per atom
# **Distance to the lowest polymorph of the same formula**: 0.016 eV/atom
# **Calculated total energy**: -22.77 eV per formula unit
# **ρ**: 12.41 g cm⁻³
data_YBeAu3
_chemical_formula_sum 'Y4 Be4 Au12'
_cell_length_a 6.4379
_cell_length_b 11.1543
_cell_length_c 5.1332
_cell_angle_alpha 90.00
_cell_angle_beta 90.00
_cell_angle_gamma 90.00
_space_group_name_H-M_alt 'C m c m'
_space_group_IT_number 63
_space_group_name_Hall '-C 2c 2'
loop_
_atom_site_label
_atom_site_fract_x
_atom_site_fract_y
_atom_site_fract_z
Y1 0.0000 0.1664 0.2500
Be1 0.0000 0.5000 0.0000
Au1 0.0000 0.3177 0.7500
Au2 0.2268 0.0914 0.7500


[2]
# Mg2HRu2 (GGA-PBE, optimized geometry)
# **Distance to the lowest polymorph of the same formula**: 0.000 eV/atom
# **Calculated total energy**: -22.69 eV per formula unit
# **ρ**: 6.05 g cm⁻³
data_Mg2HRu2
_chemical_formula_sum 'Mg4 H2 Ru4'
_cell_length_a 5.3515
_cell_length_b 5.3515
_cell_length_c 4.8284
_cell_angle_alpha 90.00
_cell_angle_beta 90.00
_cell_angle_gamma 90.00
_space_group_name_H-M_alt 'P 4/m b m'
_space_group_IT_number 127
_space_group_name_Hall '-P 4 2ab'
loop_
_atom_site_label
_atom_site_fract_x
_atom_site_fract_y
_atom_site_fract_z
Mg1 0.1767 0.3233 0.0000
H1 0.0000 0.0000 0.0000
Ru1 0.1631 0.6631 0.5000


[3]
# PmNd4Ho3Te8 (GGA-PBE, optimized geometry)
# **Formation energy (no corrections)**: -1.353 eV per atom
# **Calculated total energy**: -84.34 eV per formula unit
# **ρ**: 7.53 g cm⁻³
data_PmNd4Ho3Te8
_chemical_formula_sum 'Pm3 Nd12 Ho9 Te24'
_cell_length_a 8.7923
_cell_length_b 8.7923
_cell_length_c 22.1135
_cell_angle_alpha 90.00
_cell_angle_beta 90.00
_cell_angle_gamma 120.00
_space_group_name_H-M_alt 'R -3 m'
_space_group_IT_number 166
_space_group_name_Hall '-R 3 2"'
loop_
_atom_site_label
_atom_site_fract_x
_atom_site_fract_y
_atom_site_fract_z
Pm1 0.0000 0.0000 0.0000
Nd1 0.0000 0.0000 0.5000
Nd2 0.0000 0.5000 0.5000
Ho1 0.0000 0.5000 0.0000
Te1 0.0000 0.0000 0.2548
Te2 0.0053 0.5027 0.2535


[4]
# Mg2ZnI (GGA-PBE, optimized geometry)
# **Formation energy (no corrections)**: -0.037 eV per atom
# **Distance to the lowest polymorph of the same formula**: 0.000 eV/atom
# **Calculated total energy**: -6.16 eV per formula unit
# **ρ**: 3.74 g cm⁻³
data_Mg2ZnI
_chemical_formula_sum 'Mg8 Zn4 I4'
_cell_length_a 7.9710
_cell_length_b 7.9710
_cell_length_c 6.7366
_cell_angle_alpha 90.00
_cell_angle_beta 90.00
_cell_angle_gamma 90.00
_space_group_name_H-M_alt 'I -4 2 d'
_space_group_IT_number 122
_space_group_name_Hall 'I -4 2bw'
loop_
_atom_site_label
_atom_site_fract_x
_atom_site_fract_y
_atom_site_fract_z
Mg1 0.2185 0.7500 0.1250
Zn1 0.0000 0.0000 0.0000
I1 0.0000 0.0000 0.5000


[5]
# SrScPd2Cl (GGA-PBE, optimized geometry)
# **Formation energy (no corrections)**: -0.720 eV per atom
# **Calculated total energy**: -23.84 eV per formula unit
# **ρ**: 5.01 g cm⁻³
data_SrScPd2Cl
_chemical_formula_sum 'Sr1 Sc1 Pd2 Cl1'
_cell_length_a 5.0464
_cell_length_b 5.0464
_cell_length_c 4.9529
_cell_angle_alpha 90.00
_cell_angle_beta 90.00
_cell_angle_gamma 90.00
_space_group_name_H-M_alt 'P 4/m m m'
_space_group_IT_number 123
_space_group_name_Hall '-P 4 2'
loop_
_atom_site_label
_atom_site_fract_x
_atom_site_fract_y
_atom_site_fract_z
Sr1 0.0000 0.0000 0.0000
Sc1 0.5000 0.5000 0.5000
Pd1 0.0000 0.5000 0.5000
Cl1 0.5000 0.5000 0.0000


[6]
# Pu2FeCu (GGA-PBE, optimized geometry)
# **DFT formation energy**: 132.6 meV per atom
# **Calculated total energy**: -40.69 eV per formula unit
# **ρ**: 13.01 g cm⁻³
data_Pu2FeCu
_chemical_formula_sum 'Pu8 Fe4 Cu4'
_cell_length_a 6.7684
_cell_length_b 6.7684
_cell_length_c 6.7684
_cell_angle_alpha 90.00
_cell_angle_beta 90.00
_cell_angle_gamma 90.00
_space_group_name_H-M_alt 'F m -3 m'
_space_group_IT_number 225
_space_group_name_Hall '-F 4 2 3'
loop_
_atom_site_label
_atom_site_fract_x
_atom_site_fract_y
_atom_site_fract_z
Pu1 0.2500 0.2500 0.2500
Fe1 0.0000 0.0000 0.0000
Cu1 0.0000 0.0000 0.5000


[7]
# YNb2TlSn (GGA-PBE, optimized geometry)
# **DFT formation energy**: 1235.0 meV per atom
# **Calculated total energy**: -26.80 eV per formula unit
# **ρ**: 6.60 g cm⁻³
data_YNb2TlSn
_chemical_formula_sum 'Y1 Nb2 Tl1 Sn1'
_cell_length_a 5.2265
_cell_length_b 5.2265
_cell_length_c 5.5033
_cell_angle_alpha 90.00
_cell_angle_beta 90.00
_cell_angle_gamma 90.00
_space_group_name_H-M_alt 'P 4/m m m'
_space_group_IT_number 123
_space_group_name_Hall '-P 4 2'
loop_
_atom_site_label
_atom_site_fract_x
_atom_site_fract_y
_atom_site_fract_z
Y1 0.0000 0.0000 0.0000
Nb1 0.0000 0.5000 0.5000
Tl1 0.0000 0.0000 0.5000
Sn1 0.5000 0.5000 0.0000


[8]
# PmCdSi2Pd5 (GGA-PBE, optimized geometry)
# **Formation energy (no corrections)**: -0.623 eV per atom
# **Calculated total energy**: -48.08 eV per formula unit
# **ρ**: 8.93 g cm⁻³
data_PmCdSi2Pd5
_chemical_formula_sum 'Pm1 Cd1 Si2 Pd5'
_cell_length_a 4.2490
_cell_length_b 4.2490
_cell_length_c 8.7098
_cell_angle_alpha 90.00
_cell_angle_beta 90.00
_cell_angle_gamma 90.00
_space_group_name_H-M_alt 'P 4/m m m'
_space_group_IT_number 123
_space_group_name_Hall '-P 4 2'
loop_
_atom_site_label
_atom_site_fract_x
_atom_site_fract_y
_atom_site_fract_z
Pm1 0.0000 0.0000 0.0000
Cd1 0.0000 0.0000 0.5000
Si1 0.5000 0.5000 0.3687
Pd1 0.0000 0.5000 0.2428
Pd2 0.5000 0.5000 0.0000


no.,total moment (Bohr magnetons per cell)
1,0.000
2,0.000
3,0.000
4,0.000
5,0.000
6,37.755
7,3.476
8,0.000